First-principles (GGA-PBE) data for an optimized crystal structure of LiCaTl2, as listed in Alexandria via LeMat-Bulk.

The value obtained for the formation energy is -0.29 eV/atom.

The structure belongs to space group P4/mmm (No. 123); the cell edges are 5.233, 5.233 and 3.837 Å and the angles 90.00°, 90.00° and 90.00°. The distinct sites, in fractional coordinates, are Li at (0.000, 0.000, 0.000), Ca at (0.500, 0.500, 0.000) and Tl at (0.000, 0.500, 0.500).